i) # PmDy2In

A geometry-optimized PmDy2In structure (PBE, Alexandria via LeMat-Bulk). Values from VASP.

Geometry as Quantum ESPRESSO input:
```
&SYSTEM
  ibrav = 0, nat = 4, ntyp = 3
/
ATOMIC_SPECIES
Pm 145.00 Pm.upf
In 114.82 In.upf
Dy 162.50 Dy.upf
CELL_PARAMETERS angstrom
-1.640 3.022 -3.429
3.047 -2.032 -3.248
-3.457 -3.248 -1.210
ATOMIC_POSITIONS angstrom
Pm -1.025 -1.129 -3.943
In -0.820 1.511 -1.714
Dy -1.728 -1.624 -0.605
Dy 1.523 -1.016 -1.624
```

ii) # PmDy2In

A geometry-optimized PmDy2In structure (PBE, Alexandria via LeMat-Bulk). Values from VASP.

Geometry as Quantum ESPRESSO input:
```
&SYSTEM
  ibrav = 0, nat = 4, ntyp = 3
/
ATOMIC_SPECIES
Pm 145.00 Pm.upf
Dy 162.50 Dy.upf
In 114.82 In.upf
CELL_PARAMETERS angstrom
3.618 0.000 0.000
1.809 3.133 0.000
1.809 1.044 10.897
ATOMIC_POSITIONS angstrom
Pm 3.618 2.089 5.450
Dy 1.809 1.044 8.384
Dy 1.809 1.044 2.504
In 3.618 2.089 0.007
```

Most favorable first, least favorable last: i), ii)

i) # PmDy2In

A geometry-optimized PmDy2In structure (PBE, Alexandria via LeMat-Bulk). Values from VASP.

Geometry as Quantum ESPRESSO input:
```
&SYSTEM
  ibrav = 0, nat = 4, ntyp = 3
/
ATOMIC_SPECIES
Pm 145.00 Pm.upf
In 114.82 In.upf
Dy 162.50 Dy.upf
CELL_PARAMETERS angstrom
3.606 0.000 0.000
0.000 3.606 0.000
0.000 0.000 9.233
ATOMIC_POSITIONS angstrom
Pm 1.803 1.803 4.617
In 1.803 1.803 0.000
Dy 0.000 0.000 7.173
Dy 0.000 0.000 2.060
```

ii) # PmDy2In

A geometry-optimized PmDy2In structure (PBE, Alexandria via LeMat-Bulk). Values from VASP.

Geometry as Quantum ESPRESSO input:
```
&SYSTEM
  ibrav = 0, nat = 4, ntyp = 3
/
ATOMIC_SPECIES
Pm 145.00 Pm.upf
In 114.82 In.upf
Dy 162.50 Dy.upf
CELL_PARAMETERS angstrom
5.483 0.000 0.000
2.741 4.748 0.000
2.741 1.583 4.477
ATOMIC_POSITIONS angstrom
Pm 0.000 0.000 0.000
In 5.483 3.166 2.238
Dy 2.741 1.583 1.119
Dy 8.224 4.748 3.358
```

Most favorable first, least favorable last: i), ii)

i) # PmDyIn

A geometry-optimized PmDyIn structure (PBE, Alexandria via LeMat-Bulk). Values from VASP.

Geometry as Quantum ESPRESSO input:
```
&SYSTEM
  ibrav = 0, nat = 3, ntyp = 3
/
ATOMIC_SPECIES
In 114.82 In.upf
Dy 162.50 Dy.upf
Pm 145.00 Pm.upf
CELL_PARAMETERS angstrom
3.592 0.000 0.000
0.000 3.592 0.000
-1.796 -1.796 6.943
ATOMIC_POSITIONS angstrom
In 1.796 1.796 1.573
Dy 1.796 1.796 6.443
Pm 0.000 0.000 3.787
```

ii) # PmDyIn

A geometry-optimized PmDyIn structure (PBE, Alexandria via LeMat-Bulk). Values from VASP.

Geometry as Quantum ESPRESSO input:
```
&SYSTEM
  ibrav = 0, nat = 6, ntyp = 3
/
ATOMIC_SPECIES
Pm 145.00 Pm.upf
Dy 162.50 Dy.upf
In 114.82 In.upf
CELL_PARAMETERS angstrom
3.506 0.000 0.000
0.000 3.506 0.000
-1.753 -1.753 14.895
ATOMIC_POSITIONS angstrom
Pm 1.753 1.753 1.808
Pm 0.000 0.000 13.087
Dy 0.000 0.000 8.758
Dy 1.753 1.753 6.136
In 0.000 0.000 3.950
In 1.753 1.753 10.945
```

Most favorable first, least favorable last: i), ii)

i) # Pm3Dy4In

A geometry-optimized Pm3Dy4In structure (PBE, Alexandria via LeMat-Bulk). Values from VASP.

Geometry as Quantum ESPRESSO input:
```
&SYSTEM
  ibrav = 0, nat = 16, ntyp = 3
/
ATOMIC_SPECIES
Pm 145.00 Pm.upf
Dy 162.50 Dy.upf
In 114.82 In.upf
CELL_PARAMETERS angstrom
-0.332 -4.650 -4.127
0.405 -4.725 5.290
-11.261 0.022 0.881
ATOMIC_POSITIONS angstrom
Pm 0.045 -5.888 0.726
Pm -2.767 -7.424 -0.545
Pm -2.938 -4.006 0.314
Pm -5.522 -2.346 1.880
Pm -8.325 -3.995 0.735
Pm -8.641 -7.413 -0.085
Dy 0.300 -4.923 3.954
Dy -0.161 -3.607 -1.973
Dy -2.965 -5.187 -3.216
Dy -2.752 -6.409 2.839
Dy -5.326 -4.772 4.451
Dy -5.802 -3.668 -1.665
Dy -8.126 -6.398 3.259
Dy -8.852 -5.175 -2.756
In 0.098 -2.428 1.309
In -5.590 -6.015 1.111
```

ii) # Pm3Dy4In

A geometry-optimized Pm3Dy4In structure (PBE, Alexandria via LeMat-Bulk). Values from VASP.

Geometry as Quantum ESPRESSO input:
```
&SYSTEM
  ibrav = 0, nat = 16, ntyp = 3
/
ATOMIC_SPECIES
Dy 162.50 Dy.upf
In 114.82 In.upf
Pm 145.00 Pm.upf
CELL_PARAMETERS angstrom
6.235 0.000 0.000
0.000 7.116 0.000
0.000 0.000 11.264
ATOMIC_POSITIONS angstrom
Dy 2.280 4.471 0.000
Dy 2.259 0.911 0.000
Dy 0.083 0.906 2.677
Dy 3.200 6.210 2.955
Dy 5.376 6.204 5.632
Dy 5.397 2.645 5.632
Dy 3.200 6.210 8.309
Dy 0.083 0.906 8.587
In 5.340 2.654 0.000
In 2.223 4.461 5.632
Pm 5.195 6.210 11.264
Pm 0.221 4.385 2.759
Pm 3.338 2.731 2.873
Pm 2.078 0.906 5.632
Pm 3.339 2.731 8.391
Pm 0.221 4.385 8.505
```

Most favorable first, least favorable last: i), ii)

i) # Pm4DyIn

A geometry-optimized Pm4DyIn structure (PBE, Alexandria via LeMat-Bulk). Values from VASP.

Geometry as Quantum ESPRESSO input:
```
&SYSTEM
  ibrav = 0, nat = 12, ntyp = 3
/
ATOMIC_SPECIES
Pm 145.00 Pm.upf
Dy 162.50 Dy.upf
In 114.82 In.upf
CELL_PARAMETERS angstrom
5.397 0.000 0.000
0.000 6.661 0.000
-2.699 0.000 10.809
ATOMIC_POSITIONS angstrom
Pm 2.699 2.073 10.342
Pm 0.000 5.403 0.466
Pm 0.000 6.345 9.418
Pm 2.699 3.015 1.390
Pm 2.699 2.942 4.957
Pm 0.000 6.273 5.852
Pm 2.699 0.828 7.394
Pm 0.000 4.158 3.414
Dy 2.699 6.224 2.950
Dy 0.000 2.893 7.858
In 2.699 4.458 7.982
In 0.000 1.128 2.826
```

ii) # Pm4DyIn

A geometry-optimized Pm4DyIn structure (PBE, Alexandria via LeMat-Bulk). Values from VASP.

Geometry as Quantum ESPRESSO input:
```
&SYSTEM
  ibrav = 0, nat = 6, ntyp = 3
/
ATOMIC_SPECIES
Pm 145.00 Pm.upf
Dy 162.50 Dy.upf
In 114.82 In.upf
CELL_PARAMETERS angstrom
-3.329 0.228 -2.459
0.240 -4.078 -0.701
-6.629 -1.902 8.797
ATOMIC_POSITIONS angstrom
Pm -2.653 -2.244 -0.109
Pm -4.288 -1.230 5.690
Pm -2.342 -0.672 3.107
Pm -7.066 -3.510 5.745
Dy 0.000 0.000 0.000
In -4.859 -2.877 2.818
```

Most favorable first, least favorable last: ii), i)

i) # Pm6DyIn2

A geometry-optimized Pm6DyIn2 structure (PBE, Alexandria via LeMat-Bulk). Values from VASP.

Geometry as Quantum ESPRESSO input:
```
&SYSTEM
  ibrav = 0, nat = 9, ntyp = 3
/
ATOMIC_SPECIES
Pm 145.00 Pm.upf
Dy 162.50 Dy.upf
In 114.82 In.upf
CELL_PARAMETERS angstrom
-1.812 3.443 2.894
3.097 0.652 5.227
6.597 8.128 -1.476
ATOMIC_POSITIONS angstrom
Pm 1.214 3.550 4.662
Pm 6.669 8.673 1.983
Pm 5.512 6.148 4.262
Pm 4.171 3.089 2.999
Pm 3.712 9.133 3.646
Pm 2.371 6.074 2.383
Dy 0.000 0.000 0.000
In 1.128 2.988 1.214
In 6.755 9.234 5.431
```

ii) # Pm6DyIn2

A geometry-optimized Pm6DyIn2 structure (PBE, Alexandria via LeMat-Bulk). Values from VASP.

Geometry as Quantum ESPRESSO input:
```
&SYSTEM
  ibrav = 0, nat = 9, ntyp = 3
/
ATOMIC_SPECIES
Pm 145.00 Pm.upf
Dy 162.50 Dy.upf
In 114.82 In.upf
CELL_PARAMETERS angstrom
-2.841 -1.058 1.666
4.105 -5.800 6.932
2.098 3.137 9.181
ATOMIC_POSITIONS angstrom
Pm 3.850 -4.932 10.641
Pm -0.488 1.212 7.137
Pm 0.770 -4.387 5.728
Pm 1.352 -0.398 9.258
Pm 2.009 -3.323 8.521
Pm 2.592 0.667 12.051
Dy -2.841 -1.058 1.666
In 1.713 -1.087 5.845
In 1.648 -2.634 11.934
```

Most favorable first, least favorable last: i), ii)

i) # PmDyIn4

A geometry-optimized PmDyIn4 structure (PBE, Alexandria via LeMat-Bulk). Values from VASP.

Geometry as Quantum ESPRESSO input:
```
&SYSTEM
  ibrav = 0, nat = 6, ntyp = 3
/
ATOMIC_SPECIES
Pm 145.00 Pm.upf
Dy 162.50 Dy.upf
In 114.82 In.upf
CELL_PARAMETERS angstrom
4.618 0.000 1.979
2.020 5.589 1.663
0.093 0.374 6.159
ATOMIC_POSITIONS angstrom
Pm 3.367 2.977 4.897
Dy 2.307 0.005 0.994
In 1.983 3.366 1.750
In 5.763 5.344 5.684
In 4.751 2.606 8.045
In 0.965 0.610 4.126
```

ii) # PmDyIn4

A geometry-optimized PmDyIn4 structure (PBE, Alexandria via LeMat-Bulk). Values from VASP.

Geometry as Quantum ESPRESSO input:
```
&SYSTEM
  ibrav = 0, nat = 6, ntyp = 3
/
ATOMIC_SPECIES
Pm 145.00 Pm.upf
In 114.82 In.upf
Dy 162.50 Dy.upf
CELL_PARAMETERS angstrom
-1.362 0.973 5.793
-0.553 -4.657 3.791
4.156 -0.921 4.270
ATOMIC_POSITIONS angstrom
Pm 0.560 -1.151 3.463
In -0.678 -2.417 6.523
In 1.677 -0.549 6.763
In 1.401 -2.878 8.659
In 2.082 -3.365 5.762
Dy 0.000 0.000 0.000
```

iii) # PmDyIn4

A geometry-optimized PmDyIn4 structure (PBE, Alexandria via LeMat-Bulk). Values from VASP.

Geometry as Quantum ESPRESSO input:
```
&SYSTEM
  ibrav = 0, nat = 6, ntyp = 3
/
ATOMIC_SPECIES
Pm 145.00 Pm.upf
Dy 162.50 Dy.upf
In 114.82 In.upf
CELL_PARAMETERS angstrom
-2.291 -0.999 2.640
-1.705 -2.413 -2.118
7.832 -8.639 3.531
ATOMIC_POSITIONS angstrom
Pm 1.918 -6.026 2.027
Dy 0.000 0.000 0.000
In -0.664 -3.182 0.864
In 4.500 -8.869 3.189
In 1.325 -9.274 2.919
In 2.511 -2.777 1.134
```

Most favorable first, least favorable last: i), ii), iii)

i) # PmDy3In3

A geometry-optimized PmDy3In3 structure (PBE, Alexandria via LeMat-Bulk). Values from VASP.

Geometry as Quantum ESPRESSO input:
```
&SYSTEM
  ibrav = 0, nat = 14, ntyp = 3
/
ATOMIC_SPECIES
Pm 145.00 Pm.upf
Dy 162.50 Dy.upf
In 114.82 In.upf
CELL_PARAMETERS angstrom
5.166 0.000 0.000
0.000 9.431 0.000
0.000 -4.716 8.168
ATOMIC_POSITIONS angstrom
Pm 1.292 4.716 2.723
Pm 3.875 0.000 5.445
Dy 1.292 3.619 6.268
Dy 1.292 2.193 0.000
Dy 1.292 8.334 1.899
Dy 3.875 1.096 1.899
Dy 3.875 2.523 8.167
Dy 3.875 -3.619 6.269
In 3.875 3.235 4.471
In 3.875 3.942 0.566
In 3.875 6.970 3.130
In 1.292 1.480 3.697
In 1.292 0.774 7.601
In 1.292 -2.254 5.037
```

ii) # PmDy3In3

A geometry-optimized PmDy3In3 structure (PBE, Alexandria via LeMat-Bulk). Values from VASP.

Geometry as Quantum ESPRESSO input:
```
&SYSTEM
  ibrav = 0, nat = 28, ntyp = 3
/
ATOMIC_SPECIES
Pm 145.00 Pm.upf
Dy 162.50 Dy.upf
In 114.82 In.upf
CELL_PARAMETERS angstrom
9.370 0.000 0.000
0.000 9.370 0.000
0.000 0.000 9.370
ATOMIC_POSITIONS angstrom
Pm 0.651 5.336 8.719
Pm 8.719 0.651 5.336
Pm 4.034 4.034 4.034
Pm 5.336 8.719 0.651
Dy 7.718 3.033 1.652
Dy 8.583 8.583 8.583
Dy 7.701 6.354 3.016
Dy 1.652 7.718 3.033
Dy 1.669 1.669 1.669
Dy 3.016 7.701 6.354
Dy 0.786 3.898 5.471
Dy 3.033 1.652 7.718
Dy 6.354 3.016 7.701
Dy 6.336 6.336 6.336
Dy 5.471 0.786 3.898
Dy 3.898 5.471 0.786
In 6.932 5.795 0.010
In 8.260 9.360 2.247
In 0.010 6.932 5.795
In 1.110 4.675 2.438
In 2.438 1.110 4.675
In 2.247 8.260 9.360
In 9.360 2.247 8.260
In 3.575 4.695 7.123
In 4.675 2.438 1.110
In 5.795 0.010 6.932
In 7.123 3.575 4.695
In 4.695 7.123 3.575
```

Most favorable first, least favorable last: i), ii)